AcMg2CuGe2 PBE-GGA optimized geometry; ΔH_f (0 K) = -0.230 eV/atom
1.0
4.425 0.000 0.000
0.000 4.425 0.000
-2.212 -2.212 7.680
Ac Mg Cu Ge
1 2 1 2
direct
0.500 0.500 0.000
0.250 0.750 0.500
0.750 0.250 0.500
0.000 0.000 0.000
0.854 0.854 0.707
0.146 0.146 0.293